[1]
Material: SrCoRe2
Method: DFT, PBE
State: relaxed

Computed properties:
Spin magnetization ... 1.73 μB per cell
Crystal system ... orthorhombic
Formation enthalpy at 0 K ... 1.005 eV per atom
Space-group type ... Pmmm
Density of states at the Fermi level ... 4.15 states/eV per cell
Volume ... 17.4 A^3/atom

Cell lengths 3.0798, 4.4349, 5.0996 Å; angles 90.00, 90.00, 90.00 degrees
Element x y z (fractional)
Co 0.0000 0.5000 0.5000
Re 0.0000 0.0000 0.0000
Re 0.5000 0.5000 0.0000
Sr 0.5000 0.0000 0.5000

***

[2]
Material: SrCoRe
Method: DFT, PBE
State: relaxed

Computed properties:
Spin magnetization ... 0.45 μB per cell
Crystal system ... tetragonal
Formation enthalpy at 0 K ... 0.614 eV per atom
Space-group type ... I4mm
Density of states at the Fermi level ... 2.97 states/eV per cell
Volume ... 19.2 A^3/atom

Cell lengths 6.5240, 6.5234, 3.0592 Å; angles 76.45, 76.43, 27.12 degrees
Element x y z (fractional)
Co 0.9630 0.9630 0.0370
Re 0.3725 0.3725 0.6275
Sr 0.6645 0.6645 0.3355

***

[3]
Material: SrCoRe2
Method: DFT, PBE
State: relaxed

Computed properties:
Spin magnetization ... 0.00 μB per cell
Crystal system ... cubic
Formation enthalpy at 0 K ... 1.538 eV per atom
Space-group type ... Fm-3m
Density of states at the Fermi level ... 11.21 states/eV per cell
Volume ... 16.4 A^3/atom

Cell lengths 4.5234, 4.5234, 4.5234 Å; angles 60.00, 60.00, 60.00 degrees
Element x y z (fractional)
Re 0.2500 0.2500 0.2500
Re 0.7500 0.7500 0.7500
Co 0.0000 0.0000 0.0000
Sr 0.5000 0.5000 0.5000

***

[4]
Material: SrCoRe2
Method: DFT, PBE
State: relaxed

Computed properties:
Spin magnetization ... 1.33 μB per cell
Crystal system ... cubic
Formation enthalpy at 0 K ... 0.954 eV per atom
Space-group type ... F-43m
Density of states at the Fermi level ... 2.60 states/eV per cell
Volume ... 16.9 A^3/atom

Cell lengths 4.5742, 4.5742, 4.5742 Å; angles 60.00, 60.00, 60.00 degrees
Element x y z (fractional)
Co 0.5000 0.5000 0.5000
Re 0.0000 0.0000 0.0000
Re 0.2500 0.2500 0.2500
Sr 0.7500 0.7500 0.7500

***

[5]
Material: SrCo2Re
Method: DFT, PBE
State: relaxed

Computed properties:
Spin magnetization ... 3.18 μB per cell
Crystal system ... cubic
Formation enthalpy at 0 K ... 0.942 eV per atom
Space-group type ... Fm-3m
Density of states at the Fermi level ... 4.93 states/eV per cell
Volume ... 16.5 A^3/atom

Cell lengths 4.5367, 4.5367, 4.5367 Å; angles 60.00, 60.00, 60.00 degrees
Element x y z (fractional)
Re 0.5000 0.5000 0.5000
Co 0.2500 0.2500 0.2500
Co 0.7500 0.7500 0.7500
Sr 0.0000 0.0000 0.0000

***

[6]
Material: SrCoRe2
Method: DFT, PBE
State: relaxed

Computed properties:
Spin magnetization ... 1.09 μB per cell
Crystal system ... monoclinic
Formation enthalpy at 0 K ... 0.646 eV per atom
Space-group type ... Cm
Density of states at the Fermi level ... 3.55 states/eV per cell
Volume ... 20.3 A^3/atom

Cell lengths 4.6094, 4.6094, 6.2509 Å; angles 78.69, 78.69, 38.80 degrees
Element x y z (fractional)
Co 0.2783 0.2783 0.1540
Re 0.9923 0.9923 0.9934
Re 0.7214 0.7214 0.8667
Sr 0.5080 0.5080 0.4859

***

[7]
Material: SrCoRe
Method: DFT, PBE
State: relaxed

Computed properties:
Spin magnetization ... 5.35 μB per cell
Crystal system ... hexagonal
Formation enthalpy at 0 K ... 1.875 eV per atom
Space-group type ... P6_3/mmc
Density of states at the Fermi level ... 9.62 states/eV per cell
Volume ... 36.2 A^3/atom

Cell lengths 5.3647, 5.3647, 8.7114 Å; angles 90.00, 90.00, 120.00 degrees
Element x y z (fractional)
Re 0.0000 0.0000 0.2500
Re 0.0000 0.0000 0.7500
Co 0.0000 0.0000 0.0000
Co 0.0000 0.0000 0.5000
Sr 0.3333 0.6667 0.2500
Sr 0.6667 0.3333 0.7500

***

[8]
Material: SrCoRe2
Method: DFT, PBE
State: relaxed

Computed properties:
Spin magnetization ... 1.21 μB per cell
Crystal system ... tetragonal
Formation enthalpy at 0 K ... 1.180 eV per atom
Space-group type ... I4/mmm
Density of states at the Fermi level ... 6.22 states/eV per cell
Volume ... 17.9 A^3/atom

Cell lengths 5.6946, 5.6946, 5.6946 Å; angles 141.32, 141.32, 55.85 degrees
Element x y z (fractional)
Co 0.7500 0.2500 0.5000
Re 0.0000 0.0000 0.0000
Re 0.5000 0.5000 0.0000
Sr 0.2500 0.7500 0.5000

***

[9]
Material: SrCo2Re
Method: DFT, PBE
State: relaxed

Computed properties:
Spin magnetization ... 3.08 μB per cell
Crystal system ... trigonal
Formation enthalpy at 0 K ... 0.931 eV per atom
Space-group type ... R3m
Density of states at the Fermi level ... 4.76 states/eV per cell
Volume ... 16.1 A^3/atom

Cell lengths 9.4469, 9.4469, 9.4469 Å; angles 17.23, 17.23, 17.23 degrees
Element x y z (fractional)
Co 0.9850 0.9850 0.9850
Co 0.2533 0.2533 0.2533
Re 0.5152 0.5152 0.5152
Sr 0.7465 0.7465 0.7465

***

[10]
Material: SrCoRe2
Method: DFT, PBE
State: relaxed

Computed properties:
Spin magnetization ... 1.24 μB per cell
Crystal system ... tetragonal
Formation enthalpy at 0 K ... 0.747 eV per atom
Space-group type ... P4/mmm
Density of states at the Fermi level ... 3.56 states/eV per cell
Volume ... 18.7 A^3/atom

Cell lengths 3.1663, 3.1701, 7.4367 Å; angles 90.00, 90.00, 90.00 degrees
Element x y z (fractional)
Co 0.5000 0.5000 0.7500
Re 0.0000 0.0000 0.9107
Re 0.0000 0.0000 0.5893
Sr 0.5000 0.5000 0.2500

***

[11]
Material: SrCoRe2
Method: DFT, PBE
State: relaxed

Computed properties:
Spin magnetization ... 0.86 μB per cell
Crystal system ... tetragonal
Formation enthalpy at 0 K ... 0.737 eV per atom
Space-group type ... P4/mmm
Density of states at the Fermi level ... 3.55 states/eV per cell
Volume ... 16.7 A^3/atom

Cell lengths 2.7308, 2.7308, 8.9712 Å; angles 90.00, 90.00, 90.01 degrees
Element x y z (fractional)
Co 0.5000 0.5000 0.7500
Re 0.0000 0.0000 0.9460
Re 0.0000 0.0000 0.5540
Sr 0.5000 0.5000 0.2500

***

[12]
Material: SrCo2Re
Method: DFT, PBE
State: relaxed

Computed properties:
Spin magnetization ... 1.86 μB per cell
Crystal system ... tetragonal
Formation enthalpy at 0 K ... 0.792 eV per atom
Space-group type ... I4_1/amd
Density of states at the Fermi level ... 7.64 states/eV per cell
Volume ... 22.6 A^3/atom

Cell lengths 4.8537, 4.8537, 8.4020 Å; angles 73.21, 73.21, 90.00 degrees
Element x y z (fractional)
Re 0.0000 0.0000 0.0000
Re 0.7500 0.2500 0.5000
Co 0.8748 0.1250 0.2500
Co 0.8752 0.6250 0.2500
Co 0.3750 0.1252 0.7500
Co 0.8750 0.1248 0.7500
Sr 0.5000 0.5000 0.0000
Sr 0.2500 0.7500 0.5000